No. 1
The following is a DFT calculation (PBE-GGA) of crystalline Ba2Sr9Ca at its relaxed geometry.

```
data_Ba2Sr9Ca
_symmetry_space_group_name_H-M 'P 4/m m m'
_symmetry_Int_Tables_number 123
_symmetry_space_group_name_Hall '-P 4 2'
_cell_length_a 6.056
_cell_length_b 6.056
_cell_length_c 18.100
_cell_angle_alpha 90.00
_cell_angle_beta 90.00
_cell_angle_gamma 90.00
loop_
_atom_site_label
_atom_site_fract_x
_atom_site_fract_y
_atom_site_fract_z
_atom_site_occupancy
Ba1 0.000 0.000 0.172 1
Sr1 0.000 0.500 0.000 1
Sr2 0.000 0.500 0.343 1
Sr3 0.500 0.500 0.172 1
Sr4 0.500 0.500 0.500 1
Ca1 0.000 0.000 0.500 1
```

Properties
size of the total moment: 0.00 Bohr magnetons per cell
E: -20.9 eV per cell

=====

No. 2
The following is a DFT calculation (PBE-GGA) of crystalline Ba3Sr8Ca3 at its relaxed geometry.

```
data_Ba3Sr8Ca3
_symmetry_space_group_name_H-M 'C 1 2/m 1'
_symmetry_Int_Tables_number 12
_symmetry_space_group_name_Hall '-C 2y'
_cell_length_a 26.972
_cell_length_b 4.196
_cell_length_c 18.102
_cell_angle_alpha 90.00
_cell_angle_beta 131.38
_cell_angle_gamma 90.00
loop_
_atom_site_label
_atom_site_fract_x
_atom_site_fract_y
_atom_site_fract_z
_atom_site_occupancy
Ba1 0.000 0.000 0.000 1
Ba2 0.141 0.500 0.753 1
Sr1 0.002 0.500 0.227 1
Sr2 0.141 0.500 0.532 1
Sr3 0.172 0.000 0.988 1
Sr4 0.174 0.000 0.365 1
Ca1 0.000 0.000 0.500 1
Ca2 0.202 0.500 0.206 1
```

Properties
size of the total moment: 0.00 Bohr magnetons per cell
E: -48.4 eV per cell

=====

No. 3
The following is a DFT calculation (PBE-GGA) of crystalline Ba2Sr6Ca3 at its relaxed geometry.

```
data_Ba2Sr6Ca3
_symmetry_space_group_name_H-M 'I m m m'
_symmetry_Int_Tables_number 71
_symmetry_space_group_name_Hall '-I 2 2'
_cell_length_a 6.511
_cell_length_b 9.819
_cell_length_c 18.851
_cell_angle_alpha 90.00
_cell_angle_beta 90.00
_cell_angle_gamma 90.00
loop_
_atom_site_label
_atom_site_fract_x
_atom_site_fract_y
_atom_site_fract_z
_atom_site_occupancy
Ba1 0.000 0.000 0.160 1
Sr1 0.000 0.219 0.351 1
Sr2 0.000 0.290 0.000 1
Ca1 0.000 0.500 0.194 1
Ca2 0.000 0.500 0.500 1
```

Properties
size of the total moment: 0.00 Bohr magnetons per cell
E: -38.3 eV per cell

=====

No. 4
The following is a DFT calculation (PBE-GGA) of crystalline Ba4Sr8Ca at its relaxed geometry.

```
data_Ba4Sr8Ca
_symmetry_space_group_name_H-M 'C 1 2/m 1'
_symmetry_Int_Tables_number 12
_symmetry_space_group_name_Hall '-C 2y'
_cell_length_a 11.803
_cell_length_b 6.790
_cell_length_c 18.439
_cell_angle_alpha 90.00
_cell_angle_beta 102.03
_cell_angle_gamma 90.00
loop_
_atom_site_label
_atom_site_fract_x
_atom_site_fract_y
_atom_site_fract_z
_atom_site_occupancy
Ba1 0.117 0.000 0.349 1
Ba2 0.153 0.500 0.959 1
Sr1 0.039 0.000 0.116 1
Sr2 0.075 0.500 0.725 1
Sr3 0.191 0.000 0.574 1
Sr4 0.232 0.500 0.195 1
Ca1 0.000 0.500 0.500 1
```

Properties
size of the total moment: 0.00 Bohr magnetons per cell
E: -46.0 eV per cell

=====

No. 5
The following is a DFT calculation (PBE-GGA) of crystalline Ba3Sr5Ca3 at its relaxed geometry.

```
data_Ba3Sr5Ca3
_symmetry_space_group_name_H-M 'P -6 2 m'
_symmetry_Int_Tables_number 189
_symmetry_space_group_name_Hall 'P -6 -2'
_cell_length_a 13.4001
_cell_length_b 13.4001
_cell_length_c 4.0761
_cell_angle_alpha 90.00
_cell_angle_beta 90.00
_cell_angle_gamma 120.00
loop_
_atom_site_label
_atom_site_fract_x
_atom_site_fract_y
_atom_site_fract_z
_atom_site_occupancy
Ba1 0.0000 0.4004 0.0000 1
Sr1 0.0000 0.6725 0.5000 1
Sr2 0.3333 0.6667 0.5000 1
Ca1 0.0000 0.1539 0.5000 1
```

Properties
size of the total moment: 0.00 Bohr magnetons per cell
E: -17.7 eV per cell

=====

No. 6
The following is a DFT calculation (PBE-GGA) of crystalline Ba2Sr6Ca at its relaxed geometry.

```
data_Ba2Sr6Ca
_symmetry_space_group_name_H-M 'C 1 2/m 1'
_symmetry_Int_Tables_number 12
_symmetry_space_group_name_Hall '-C 2y'
_cell_length_a 13.469
_cell_length_b 6.070
_cell_length_c 12.794
_cell_angle_alpha 90.00
_cell_angle_beta 107.90
_cell_angle_gamma 90.00
loop_
_atom_site_label
_atom_site_fract_x
_atom_site_fract_y
_atom_site_fract_z
_atom_site_occupancy
Ba1 0.168 0.000 0.058 1
Sr1 0.007 0.500 0.177 1
Sr2 0.155 0.000 0.711 1
Sr3 0.172 0.000 0.395 1
Ca1 0.000 0.500 0.500 1
```

Properties
size of the total moment: 0.00 Bohr magnetons per cell
E: -31.7 eV per cell

=====

No. 7
The following is a DFT calculation (PBE-GGA) of crystalline BaSr12Ca4 at its relaxed geometry.

```
data_BaSr12Ca4
_symmetry_space_group_name_H-M 'I m -3 m'
_symmetry_Int_Tables_number 229
_symmetry_space_group_name_Hall '-I 4 2 3'
_cell_length_a 12.109
_cell_length_b 12.109
_cell_length_c 12.109
_cell_angle_alpha 90.00
_cell_angle_beta 90.00
_cell_angle_gamma 90.00
loop_
_atom_site_label
_atom_site_fract_x
_atom_site_fract_y
_atom_site_fract_z
_atom_site_occupancy
Ba1 0.000 0.000 0.000 1
Sr1 0.000 0.000 0.284 1
Sr2 0.000 0.250 0.500 1
Ca1 0.250 0.250 0.250 1
```

Properties
size of the total moment: 0.05 Bohr magnetons per cell
E: -54.5 eV per cell

=====

No. 8
The following is a DFT calculation (PBE-GGA) of crystalline BaSrCa at its relaxed geometry.

```
data_BaSrCa
_symmetry_space_group_name_H-M 'I m m 2'
_symmetry_Int_Tables_number 44
_symmetry_space_group_name_Hall 'I 2 -2'
_cell_length_a 4.303
_cell_length_b 5.790
_cell_length_c 12.825
_cell_angle_alpha 90.00
_cell_angle_beta 90.00
_cell_angle_gamma 90.00
loop_
_atom_site_label
_atom_site_fract_x
_atom_site_fract_y
_atom_site_fract_z
_atom_site_occupancy
Ba1 0.000 0.000 0.000 1
Sr1 0.000 0.000 0.675 1
Ca1 0.000 0.000 0.333 1
```

Properties
size of the total moment: 0.00 Bohr magnetons per cell
E: -11.1 eV per cell

=====

No. 9
The following is a DFT calculation (PBE-GGA) of crystalline BaSr9Ca2 at its relaxed geometry.

```
data_BaSr9Ca2
_symmetry_space_group_name_H-M 'P 4/m m m'
_symmetry_Int_Tables_number 123
_symmetry_space_group_name_Hall '-P 4 2'
_cell_length_a 5.987
_cell_length_b 5.987
_cell_length_c 17.841
_cell_angle_alpha 90.00
_cell_angle_beta 90.00
_cell_angle_gamma 90.00
loop_
_atom_site_label
_atom_site_fract_x
_atom_site_fract_y
_atom_site_fract_z
_atom_site_occupancy
Ba1 0.000 0.000 0.000 1
Sr1 0.000 0.500 0.176 1
Sr2 0.000 0.500 0.500 1
Sr3 0.500 0.500 0.000 1
Sr4 0.500 0.500 0.339 1
Ca1 0.000 0.000 0.338 1
```

Properties
size of the total moment: 0.00 Bohr magnetons per cell
E: -20.9 eV per cell

=====

No. 10
The following is a DFT calculation (PBE-GGA) of crystalline Ba7Sr16Ca6 at its relaxed geometry.

```
data_Ba7Sr16Ca6
_symmetry_space_group_name_H-M 'F m -3 m'
_symmetry_Int_Tables_number 225
_symmetry_space_group_name_Hall '-F 4 2 3'
_cell_length_a 18.862
_cell_length_b 18.862
_cell_length_c 18.862
_cell_angle_alpha 90.00
_cell_angle_beta 90.00
_cell_angle_gamma 90.00
loop_
_atom_site_label
_atom_site_fract_x
_atom_site_fract_y
_atom_site_fract_z
_atom_site_occupancy
Ba1 0.000 0.000 0.000 1
Ba2 0.000 0.250 0.250 1
Sr1 0.119 0.119 0.119 1
Sr2 0.163 0.163 0.337 1
Ca1 0.000 0.000 0.265 1
```

Properties
size of the total moment: 0.00 Bohr magnetons per cell
E: -190.0 eV per cell